1.
# PmYTh2Bi5 PBE relaxed
data_PmYTh2Bi5
_chemical_formula_sum 'Pm1 Y1 Th2 Bi5'
_space_group_name_H-M_alt 'P 4/m m m'
_space_group_IT_number 123
_space_group_name_Hall '-P 4 2'
_cell_length_a 5.5134
_cell_length_b 5.5134
_cell_length_c 11.7595
_cell_angle_alpha 90.00
_cell_angle_beta 90.00
_cell_angle_gamma 90.00
loop_
_atom_site_label
_atom_site_type_symbol
_atom_site_fract_x
_atom_site_fract_y
_atom_site_fract_z
Pm1 Pm 0.0000 0.0000 0.0000
Y1 Y 0.0000 0.0000 0.5000
Th1 Th 0.5000 0.5000 0.2000
Bi1 Bi 0.0000 0.0000 0.2549
Bi2 Bi 0.0000 0.5000 0.0000
Bi3 Bi 0.5000 0.5000 0.5000
# - Energy of formation: 0.1240 eV per atom
# - DFT total energy: -44.34 eV per cell

2.
# Pm2YThBi5 PBE relaxed
data_Pm2YThBi5
_chemical_formula_sum 'Pm2 Y1 Th1 Bi5'
_space_group_name_H-M_alt 'P 4/m m m'
_space_group_IT_number 123
_space_group_name_Hall '-P 4 2'
_cell_length_a 5.7424
_cell_length_b 5.7424
_cell_length_c 11.9186
_cell_angle_alpha 90.00
_cell_angle_beta 90.00
_cell_angle_gamma 90.00
loop_
_atom_site_label
_atom_site_type_symbol
_atom_site_fract_x
_atom_site_fract_y
_atom_site_fract_z
Pm1 Pm 0.0000 0.0000 0.2240
Y1 Y 0.5000 0.5000 0.5000
Th1 Th 0.5000 0.5000 0.0000
Bi1 Bi 0.0000 0.0000 0.5000
Bi2 Bi 0.0000 0.5000 0.0000
Bi3 Bi 0.5000 0.5000 0.2579
# - Energy of formation: 0.0750 eV per atom
# - DFT total energy: -42.12 eV per cell

3.
# PmY3Th2Bi6 PBE relaxed
data_PmY3Th2Bi6
_chemical_formula_sum 'Pm2 Y6 Th4 Bi12'
_space_group_name_H-M_alt 'C 1 2/m 1'
_space_group_IT_number 12
_cell_length_a 19.7570
_cell_length_b 4.5478
_cell_length_c 9.0587
_cell_angle_alpha 90.00
_cell_angle_beta 103.01
_cell_angle_gamma 90.00
loop_
_space_group_symop_operation_xyz
'x,y,z'
'-x,-y,-z'
'-x,y,-z'
'x,-y,z'
'x+1/2,y+1/2,z'
'-x+1/2,-y+1/2,-z'
'-x+1/2,y+1/2,-z'
'x+1/2,-y+1/2,z'
loop_
_atom_site_label
_atom_site_type_symbol
_atom_site_fract_x
_atom_site_fract_y
_atom_site_fract_z
Pm1 Pm 0.0000 0.0000 0.0000
Y1 Y 0.0000 0.0000 0.5000
Y2 Y 0.1660 0.5000 0.8337
Th1 Th 0.1652 0.5000 0.3309
Bi1 Bi 0.0020 0.5000 0.7464
Bi2 Bi 0.1653 0.0000 0.5877
Bi3 Bi 0.1682 0.0000 0.0782
# - Energy of formation: -0.7997 eV per atom
# - DFT total energy: -143.73 eV per cell

4.
# Pm2YTh3Bi6 PBE relaxed
data_Pm2YTh3Bi6
_chemical_formula_sum 'Pm4 Y2 Th6 Bi12'
_space_group_name_H-M_alt 'C 1 2/m 1'
_space_group_IT_number 12
_cell_length_a 19.9314
_cell_length_b 4.5780
_cell_length_c 9.1254
_cell_angle_alpha 90.00
_cell_angle_beta 103.11
_cell_angle_gamma 90.00
loop_
_space_group_symop_operation_xyz
'x,y,z'
'-x,-y,-z'
'-x,y,-z'
'x,-y,z'
'x+1/2,y+1/2,z'
'-x+1/2,-y+1/2,-z'
'-x+1/2,y+1/2,-z'
'x+1/2,-y+1/2,z'
loop_
_atom_site_label
_atom_site_type_symbol
_atom_site_fract_x
_atom_site_fract_y
_atom_site_fract_z
Pm1 Pm 0.1665 0.0000 0.3333
Y1 Y 0.0000 0.5000 0.0000
Th1 Th 0.0000 0.5000 0.5000
Th2 Th 0.1680 0.0000 0.8334
Bi1 Bi 0.9997 0.0000 0.2443
Bi2 Bi 0.1640 0.5000 0.0830
Bi3 Bi 0.1670 0.5000 0.5820
# - Energy of formation: -0.7496 eV per atom
# - DFT total energy: -141.01 eV per cell

5.
# PmTiBi PBE relaxed
data_PmTiBi
_chemical_formula_sum 'Pm9 Ti9 Bi9'
_space_group_name_H-M_alt 'R 3'
_space_group_IT_number 146
_space_group_name_Hall 'R 3'
_cell_length_a 8.3075
_cell_length_b 8.3075
_cell_length_c 12.5990
_cell_angle_alpha 90.00
_cell_angle_beta 90.00
_cell_angle_gamma 120.00
loop_
_atom_site_label
_atom_site_type_symbol
_atom_site_fract_x
_atom_site_fract_y
_atom_site_fract_z
Pm1 Pm 0.9996 0.3658 0.0000
Ti1 Ti 0.0000 0.0000 0.0996
Ti2 Ti 0.0000 0.0000 0.4989
Ti3 Ti 0.0000 0.0000 0.9016
Bi1 Bi 0.0003 0.6526 0.5001
# - Energy of formation: -0.1307 eV per atom
# - DFT total energy: -152.27 eV per cell

6.
# PmTiBi2 PBE relaxed
data_PmTiBi2
_chemical_formula_sum 'Pm4 Ti4 Bi8'
_space_group_name_H-M_alt 'F m -3 m'
_space_group_IT_number 225
_space_group_name_Hall '-F 4 2 3'
_cell_length_a 7.5648
_cell_length_b 7.5648
_cell_length_c 7.5648
_cell_angle_alpha 90.00
_cell_angle_beta 90.00
_cell_angle_gamma 90.00
loop_
_atom_site_label
_atom_site_type_symbol
_atom_site_fract_x
_atom_site_fract_y
_atom_site_fract_z
Pm1 Pm 0.0000 0.0000 0.0000
Ti1 Ti 0.0000 0.0000 0.5000
Bi1 Bi 0.2500 0.2500 0.2500
# - Energy of formation: -0.2675 eV per atom
# - DFT total energy: -85.91 eV per cell

7.
# PmTiBi PBE relaxed
data_PmTiBi
_chemical_formula_sum 'Pm2 Ti2 Bi2'
_space_group_name_H-M_alt 'I 4 m m'
_space_group_IT_number 107
_space_group_name_Hall 'I 4 -2'
_cell_length_a 3.7744
_cell_length_b 3.7744
_cell_length_c 10.9497
_cell_angle_alpha 90.00
_cell_angle_beta 90.00
_cell_angle_gamma 90.00
loop_
_atom_site_label
_atom_site_type_symbol
_atom_site_fract_x
_atom_site_fract_y
_atom_site_fract_z
Pm1 Pm 0.0000 0.0000 0.0000
Ti1 Ti 0.0000 0.0000 0.6828
Bi1 Bi 0.0000 0.0000 0.3030
# - Energy of formation: -0.1969 eV per atom
# - DFT total energy: -34.23 eV per cell

8.
# PmTiBi2 PBE relaxed
data_PmTiBi2
_chemical_formula_sum 'Pm1 Ti1 Bi2'
_space_group_name_H-M_alt 'P 4/m m m'
_space_group_IT_number 123
_space_group_name_Hall '-P 4 2'
_cell_length_a 5.2302
_cell_length_b 5.2302
_cell_length_c 3.9844
_cell_angle_alpha 90.00
_cell_angle_beta 90.00
_cell_angle_gamma 90.00
loop_
_atom_site_label
_atom_site_type_symbol
_atom_site_fract_x
_atom_site_fract_y
_atom_site_fract_z
Pm1 Pm 0.0000 0.0000 0.0000
Ti1 Ti 0.5000 0.5000 0.0000
Bi1 Bi 0.0000 0.5000 0.5000
# - Energy of formation: -0.2341 eV per atom
# - DFT total energy: -21.34 eV per cell